No. 1
Computed, not measured: an optimized crystal structure of Ru2Pt2Au at the GGA-PBE level of DFT.

## Properties
The size of the total moment comes out at 0.00 μB per atom. The value obtained for the uncorrected energy is -6.45 eV/atom. Its space group is No. 127.

a b c (Å): 7.6914 7.6914 2.7502
angles (deg): 90.00 90.00 90.00
Element x y z (fractional)
Ru (0.3815, 0.8815, 0.0000)
Ru (0.8815, 0.6185, 0.0000)
Ru (0.6185, 0.1185, 0.0000)
Ru (0.1185, 0.3815, 0.0000)
Au (0.0000, 0.0000, 0.0000)
Au (0.5000, 0.5000, 0.0000)
Pt (0.1764, 0.6764, 0.5000)
Pt (0.6764, 0.8236, 0.5000)
Pt (0.8236, 0.3236, 0.5000)
Pt (0.3236, 0.1764, 0.5000)

=====

No. 2
Computed, not measured: an optimized crystal structure of Ru2PtAu at the GGA-PBE level of DFT.

## Properties
The size of the total moment comes out at 0.00 μB per atom. The value obtained for the uncorrected energy is -6.87 eV/atom. Its space group is No. 99.

a b c (Å): 2.7735 2.7735 8.0000
angles (deg): 90.00 90.00 90.00
Element x y z (fractional)
Au (0.0000, 0.0000, 0.4931)
Pt (0.5000, 0.5000, 0.7666)
Ru (0.0000, 0.0000, 0.0140)
Ru (0.5000, 0.5000, 0.2263)

=====

No. 3
Computed, not measured: an optimized crystal structure of Ru2PtAu at the GGA-PBE level of DFT.

## Properties
The size of the total moment comes out at 0.00 μB per atom. The value obtained for the uncorrected energy is -6.70 eV/atom. Its space group is No. 166.

a b c (Å): 9.3455 9.3455 9.3455
angles (deg): 17.07 17.07 17.07
Element x y z (fractional)
Au (0.2500, 0.2500, 0.2500)
Pt (0.7500, 0.7500, 0.7500)
Ru (0.0030, 0.0030, 0.0030)
Ru (0.4970, 0.4970, 0.4970)

=====

No. 4
Computed, not measured: an optimized crystal structure of RuPtAu2 at the GGA-PBE level of DFT.

## Properties
The size of the total moment comes out at 0.32 μB per atom. The value obtained for the uncorrected energy is -5.15 eV/atom. Its space group is No. 65.

a b c (Å): 2.7957 2.7957 9.8234
angles (deg): 90.00 90.00 119.51
Last column: magnetic moment on the atom in μB.
Element x y z (fractional)
Au (0.0000, 0.0000, 0.9966)  0.05
Au (0.0000, 0.0000, 0.5034)  0.05
Pt (0.5000, 0.5000, 0.2500)  0.03
Ru (0.5000, 0.5000, 0.7500)  1.11

=====

No. 5
Computed, not measured: an optimized crystal structure of Ru2Pt2Au at the GGA-PBE level of DFT.

## Properties
The size of the total moment comes out at 0.40 μB per atom. The value obtained for the uncorrected energy is -6.43 eV/atom. Its space group is No. 127.

a b c (Å): 7.7363 7.7363 2.7362
angles (deg): 90.00 90.00 90.00
Last column: magnetic moment on the atom in μB.
Element x y z (fractional)
Ru (0.1738, 0.6738, 0.5000)  0.82
Ru (0.6738, 0.8262, 0.5000)  0.79
Ru (0.8262, 0.3262, 0.5000)  0.82
Ru (0.3262, 0.1738, 0.5000)  0.79
Au (0.0000, 0.0000, 0.0000)  0.04
Au (0.5000, 0.5000, 0.0000)  0.04
Pt (0.3762, 0.8762, 0.0000)  0.14
Pt (0.8762, 0.6238, 0.0000)  0.15
Pt (0.6238, 0.1238, 0.0000)  0.14
Pt (0.1238, 0.3762, 0.0000)  0.15

=====

No. 6
Computed, not measured: an optimized crystal structure of Ru2PtAu at the GGA-PBE level of DFT.

## Properties
The size of the total moment comes out at 0.00 μB per atom. The value obtained for the uncorrected energy is -6.67 eV/atom. Its space group is No. 123.

a b c (Å): 2.7803 2.7803 7.9322
angles (deg): 90.00 90.00 90.00
Element x y z (fractional)
Au (0.5000, 0.5000, 0.2500)
Pt (0.5000, 0.5000, 0.7500)
Ru (0.0000, 0.0000, 0.9892)
Ru (0.0000, 0.0000, 0.5108)

=====

No. 7
Computed, not measured: an optimized crystal structure of RuPt2Au at the GGA-PBE level of DFT.

## Properties
The size of the total moment comes out at 0.00 μB per atom. The value obtained for the uncorrected energy is -6.01 eV/atom. Its space group is No. 8.

a b c (Å): 4.8536 4.8536 4.9323
angles (deg): 80.64 80.64 33.43
Element x y z (fractional)
Au (0.7533, 0.7533, 0.7514)
Pt (0.9964, 0.9964, 0.0028)
Pt (0.2449, 0.2449, 0.2619)
Ru (0.5055, 0.5055, 0.4839)

=====

No. 8
Computed, not measured: an optimized crystal structure of Ru2PtAu at the GGA-PBE level of DFT.

## Properties
The size of the total moment comes out at 0.00 μB per atom. The value obtained for the uncorrected energy is -6.65 eV/atom. Its space group is No. 139.

a b c (Å): 4.8477 4.8477 4.8477
angles (deg): 132.28 132.28 69.78
Element x y z (fractional)
Au (0.2500, 0.7500, 0.5000)
Pt (0.7500, 0.2500, 0.5000)
Ru (0.0000, 0.0000, 0.0000)
Ru (0.5000, 0.5000, 0.0000)